14
Lattice="5.8722 0.0000 0.0094 0.0000 5.9491 0.0000 -2.1477 0.0000 6.4382" Properties=species:S:1:pos:R:3 comment="PBE-GGA Sm2MoN4, optimized geometry" relative_energy_mev_per_atom=91 crystal_system=monoclinic space_group="No. 11" m_tot_mub_per_cell=0.0 pbc="T T T"
Sm 3.9164 4.4619 0.1855
Sm -0.1920 1.4873 6.2621
Sm 0.4690 1.4873 2.8373
Sm 3.2555 4.4619 3.6103
Mo 0.9364 4.4619 1.2381
Mo 2.7881 1.4873 5.2095
N 2.1210 3.0278 1.6308
N -1.7081 4.4619 5.9069
N 5.4325 1.4873 0.5407
N 2.1210 5.8959 1.6308
N 4.3476 1.4873 4.2029
N 1.6035 0.0532 4.8168
N 1.6035 2.9214 4.8168
N -0.6231 4.4619 2.2447

***

16
Lattice="-1.4266 -3.1786 0.4983 5.8746 -1.0583 -2.3614 4.5573 -0.2503 11.4496" Properties=species:S:1:pos:R:3 comment="PBE-GGA SrSm2MoN4, optimized geometry" crystal_system=orthorhombic space_group="No. 63" m_tot_mub_per_cell=1.7 pbc="T T T"
Sr 4.2772 -0.6284 8.2356
Sr 4.7282 -3.8587 1.3509
Sm 6.2823 -2.0986 4.5987
Sm 0.7952 -2.2827 0.1442
Sm 2.7231 -2.3886 4.9878
Sm 8.2102 -2.2044 9.4423
Mo 6.0323 -3.4840 7.4746
Mo 2.9731 -1.0032 2.1119
N 3.2510 -1.4135 0.2907
N 4.5855 -3.0095 6.3592
N 5.7544 -3.0737 9.2958
N 4.4199 -1.4777 3.2273
N 2.2787 -0.1251 5.7248
N 0.0000 0.0000 0.0000
N 7.6541 -2.3607 6.8536
N 1.3513 -2.1265 2.7329

***

16
Lattice="3.4320 0.0000 0.0000 -1.7160 5.8885 0.0000 0.0000 0.0000 11.8894" Properties=species:S:1:pos:R:3 comment="PBE-GGA Tb2SmMoN4, optimized geometry" crystal_system=orthorhombic space_group="No. 63" m_tot_mub_per_cell=0.0 pbc="T T T"
Tb 0.0000 4.3520 6.4108
Tb 1.7160 1.5365 0.4661
Tb 1.7160 1.5365 5.4786
Tb 0.0000 4.3520 11.4233
Sm 0.0000 1.1943 8.9171
Sm 1.7160 4.6941 2.9724
Mo 1.7160 4.0213 8.9171
Mo 0.0000 1.8672 2.9724
N 0.0000 3.1120 1.4949
N 1.7160 2.7765 7.4396
N 1.7160 2.7765 10.3945
N 0.0000 3.1120 4.4498
N 0.0000 0.0000 5.9447
N 0.0000 0.0000 0.0000
N 0.0000 5.2394 8.9171
N 1.7160 0.6491 2.9724

***

| no. | E (eV/atom) |
| --- | --- |
| 1 | -8.66 |
| 2 | -7.89 |
| 3 | -8.38 |